# GGA-PBE LaSiTe, optimized geometry
# Calculated density, Mg/m³: 5.52
# Final energy, eV/atom: -4.83
# Total moment, μB/atom: 0.000
# V, Å³ per cell: 354.6
# Excess energy over the best structure of this formula in the dataset, meV per atom: 485
# Raw formation energy, eV/atom: -0.332
data_LaSiTe
_space_group_name_H-M_alt 'F -4 3 m'
_space_group_IT_number 216
_space_group_name_Hall 'F -4 2 3'
_cell_length_a 7.078
_cell_length_b 7.078
_cell_length_c 7.078
_cell_angle_alpha 90.00
_cell_angle_beta 90.00
_cell_angle_gamma 90.00
loop_
_atom_site_label
_atom_site_type_symbol
_atom_site_fract_x
_atom_site_fract_y
_atom_site_fract_z
La1 La 0.000 0.000 0.000
Si1 Si 0.250 0.250 0.750
Te1 Te 0.000 0.000 0.500